1.
Material: Zr2TlRe2
Method: DFT, PBE
State: relaxed

Cell: 7.8332 7.8332 3.3246 Å, 90.00 90.00 90.00°
With the nearest neighbours (Å) after each atom.
Element x y z (fractional)
1 Zr 0.1884 0.3116 0.0000  6 Re 2.83-2.91
2 Zr 0.3116 0.8116 0.0000  6 Re 2.83-2.91
3 Zr 0.6884 0.1884 0.0000  6 Re 2.83-2.91
4 Zr 0.8116 0.6884 0.0000  6 Re 2.83-2.91
5 Tl 0.0000 0.0000 0.5000  4 Re 3.20, 8 Zr 3.30, 2 Tl 3.32
6 Tl 0.5000 0.5000 0.5000  4 Re 3.20, 8 Zr 3.30, 2 Tl 3.32
7 Re 0.1049 0.6049 0.5000  1 Re 2.32
8 Re 0.3951 0.1049 0.5000  1 Re 2.32
9 Re 0.6049 0.8951 0.5000  1 Re 2.32
10 Re 0.8951 0.3951 0.5000  1 Re 2.32

Values from the calculation:
Formation energy ... 0.1769 eV per atom
DFT total energy ... -86.95 eV per cell
ρ ... 12361 kg/m3
Total moment ... 0.00 Bohr magnetons per cell

---

2.
Material: Zr2TlRe
Method: DFT, PBE
State: relaxed

Cell: 5.5042 5.5042 5.5042 Å, 135.40 135.40 64.91°
With the nearest neighbours (Å) after each atom.
Element x y z (fractional)
1 Zr 0.0000 0.0000 0.0000  4 Tl 2.95, 4 Zr 3.12, 4 Re 3.12
2 Zr 0.7500 0.2500 0.5000  4 Re 2.95, 4 Tl 3.12, 4 Zr 3.12
3 Tl 0.5000 0.5000 0.0000  8 Zr 2.95-3.12, 4 Re 3.12
4 Re 0.2500 0.7500 0.5000  8 Zr 2.95-3.12, 4 Tl 3.12

Values from the calculation:
Formation energy ... 0.1756 eV per atom
DFT total energy ... -31.21 eV per cell
ρ ... 11742 kg/m3
Total moment ... 0.00 Bohr magnetons per cell

---

3.
Material: Zr2TlRe
Method: DFT, PBE
State: relaxed

Cell: 3.0602 3.0602 9.7403 Å, 90.00 90.00 112.89°
With the nearest neighbours (Å) after each atom.
Element x y z (fractional)
1 Zr 0.0000 0.0000 0.0000  8 Zr 3.06-3.38, 2 Tl 3.13
2 Zr 0.5000 0.5000 0.2746  2 Re 2.67
3 Tl 0.5000 0.5000 0.7299  2 Re 2.91, 4 Tl 3.06, 2 Zr 3.13
4 Re 0.0000 0.0000 0.4864  2 Zr 2.67, 2 Tl 2.91

Values from the calculation:
Formation energy ... 0.3174 eV per atom
DFT total energy ... -30.64 eV per cell
ρ ... 11323 kg/m3
Total moment ... 0.00 Bohr magnetons per cell

---

4.
Material: ZrTl2Re
Method: DFT, PBE
State: relaxed

Cell: 3.1022 3.1022 10.0005 Å, 90.00 90.00 117.76°
With the nearest neighbours (Å) after each atom.
Element x y z (fractional)
1 Zr 0.0000 0.0000 0.0000  4 Tl 3.08, 6 Zr 3.10-3.21
2 Tl 0.5000 0.5000 0.2634  2 Re 2.86, 2 Zr 3.08, 4 Tl 3.10
3 Tl 0.5000 0.5000 0.7366  2 Re 2.86, 2 Zr 3.08, 4 Tl 3.10
4 Re 0.0000 0.0000 0.5000  4 Tl 2.86, 4 Re 3.10

Values from the calculation:
Formation energy ... 0.6814 eV per atom
DFT total energy ... -23.00 eV per cell
ρ ... 13380 kg/m3
Total moment ... 0.40 Bohr magnetons per cell

---

5.
Material: Zr2TlRe
Method: DFT, PBE
State: relaxed

Cell: 3.1075 3.1075 9.3224 Å, 90.00 90.00 110.72°
With the nearest neighbours (Å) after each atom.
Element x y z (fractional)
1 Zr 0.0000 0.0000 0.2186  2 Re 2.70
2 Zr 0.0000 0.0000 0.7814  2 Re 2.70
3 Tl 0.5000 0.5000 0.5000  4 Tl 3.11, 4 Zr 3.16
4 Re 0.5000 0.5000 0.0000  4 Zr 2.70

Values from the calculation:
Formation energy ... -0.0046 eV per atom
DFT total energy ... -31.93 eV per cell
ρ ... 11301 kg/m3
Total moment ... 0.00 Bohr magnetons per cell

---

6.
Material: ZrTl2Re
Method: DFT, PBE
State: relaxed

Cell: 9.8797 9.8797 9.8797 Å, 18.36 18.36 18.36°
With the nearest neighbours (Å) after each atom.
Element x y z (fractional)
1 Zr 0.0000 0.0000 0.0000  6 Zr 3.15, 6 Tl 3.16
2 Tl 0.2445 0.2445 0.2445  3 Re 2.91, 6 Tl 3.15, 3 Zr 3.16
3 Tl 0.7555 0.7555 0.7555  3 Re 2.91, 6 Tl 3.15, 3 Zr 3.16
4 Re 0.5000 0.5000 0.5000  6 Tl 2.91, 6 Re 3.15

Values from the calculation:
Formation energy ... 0.6347 eV per atom
DFT total energy ... -23.19 eV per cell
ρ ... 13631 kg/m3
Total moment ... 0.00 Bohr magnetons per cell

---

7.
Material: ZrTl2Re
Method: DFT, PBE
State: relaxed

Cell: 3.3571 3.3500 8.5791 Å, 90.00 101.19 90.00°
With the nearest neighbours (Å) after each atom.
Element x y z (fractional)
1 Zr 0.0000 0.0000 0.0000  4 Re 2.75
2 Tl 0.6387 0.5000 0.2810  6 Tl 3.24-3.36, 4 Zr 3.35
3 Tl 0.8055 0.0000 0.6098  4 Re 3.03-3.04, 6 Tl 3.24-3.36, 1 Zr 3.28
4 Re 0.4180 0.5000 0.8347  4 Zr 2.75, 4 Tl 3.03-3.04

Values from the calculation:
Formation energy ... 0.3206 eV per atom
DFT total energy ... -24.45 eV per cell
ρ ... 12038 kg/m3
Total moment ... 0.00 Bohr magnetons per cell

---

8.
Material: ZrTl2Re
Method: DFT, PBE
State: relaxed

Cell: 3.1149 4.4016 6.0653 Å, 90.00 90.00 90.00°
With the nearest neighbours (Å) after each atom.
Element x y z (fractional)
1 Zr 0.0000 0.0000 0.0000  2 Re 3.03, 2 Zr 3.11, 8 Tl 3.13
2 Tl 0.5000 0.5000 0.2610  4 Tl 2.90-3.17, 4 Re 3.06, 4 Zr 3.13
3 Tl 0.5000 0.5000 0.7390  4 Tl 2.90-3.17, 4 Re 3.06, 4 Zr 3.13
4 Re 0.0000 0.0000 0.5000  2 Zr 3.03, 8 Tl 3.06, 2 Re 3.11

Values from the calculation:
Formation energy ... 0.6692 eV per atom
DFT total energy ... -23.05 eV per cell
ρ ... 13702 kg/m3
Total moment ... 0.92 Bohr magnetons per cell

---

9.
Material: Zr2TlRe
Method: DFT, PBE
State: relaxed

Cell: 4.7760 4.7760 3.5410 Å, 90.00 90.00 90.11°
With the nearest neighbours (Å) after each atom.
Element x y z (fractional)
1 Zr 0.0000 0.5000 0.0000  4 Tl 2.97, 4 Re 2.97
2 Zr 0.5000 0.0000 0.0000  4 Tl 2.97, 4 Re 2.97
3 Tl 0.0000 0.0000 0.5000  8 Zr 2.97
4 Re 0.5000 0.5000 0.5000  8 Zr 2.97

Values from the calculation:
Formation energy ... -0.0222 eV per atom
DFT total energy ... -32.00 eV per cell
ρ ... 11781 kg/m3
Total moment ... 0.00 Bohr magnetons per cell

---

10.
Material: ZrTl2Re
Method: DFT, PBE
State: relaxed

Cell: 5.8264 5.8264 4.9159 Å, 114.76 114.76 35.11°
With the nearest neighbours (Å) after each atom.
Element x y z (fractional)
1 Zr 0.0000 0.0000 0.0000  2 Re 2.68
2 Tl 0.2230 0.2230 0.7231  4 Re 3.03, 4 Tl 3.25-3.34, 4 Zr 3.28-3.32
3 Tl 0.4494 0.4494 0.4492  2 Re 3.03, 4 Zr 3.06-3.07, 4 Tl 3.25-3.34
4 Re 0.7022 0.7022 0.2024  2 Zr 2.68

Values from the calculation:
Formation energy ... 0.4863 eV per atom
DFT total energy ... -23.78 eV per cell
ρ ... 13215 kg/m3
Total moment ... 0.00 Bohr magnetons per cell

---

11.
Material: ZrTl2Re
Method: DFT, PBE
State: relaxed

Cell: 3.3358 3.3358 7.3548 Å, 90.00 90.00 90.00°
With the nearest neighbours (Å) after each atom.
Element x y z (fractional)
1 Zr 0.0000 0.0000 0.0000  8 Tl 3.10, 4 Zr 3.34
2 Tl 0.5000 0.5000 0.2729  4 Re 2.89, 4 Zr 3.10
3 Tl 0.5000 0.5000 0.7271  4 Re 2.89, 4 Zr 3.10
4 Re 0.0000 0.0000 0.5000  8 Tl 2.89

Values from the calculation:
Formation energy ... 0.6578 eV per atom
DFT total energy ... -23.10 eV per cell
ρ ... 13923 kg/m3
Total moment ... 0.00 Bohr magnetons per cell

---

12.
Material: Zr2TlRe
Method: DFT, PBE
State: relaxed

Cell: 3.3375 3.3375 7.4613 Å, 90.00 90.00 90.00°
With the nearest neighbours (Å) after each atom.
Element x y z (fractional)
1 Zr 0.0000 0.0000 0.2126  4 Re 2.84, 1 Zr 3.17
2 Zr 0.0000 0.0000 0.7874  4 Re 2.84, 1 Zr 3.17
3 Tl 0.5000 0.5000 0.5000  8 Zr 3.19, 4 Tl 3.34
4 Re 0.5000 0.5000 0.0000  8 Zr 2.84

Values from the calculation:
Formation energy ... -0.1809 eV per atom
DFT total energy ... -32.63 eV per cell
ρ ... 11449 kg/m3
Total moment ... 0.00 Bohr magnetons per cell

---

13.
Material: Zr2TlRe
Method: DFT, PBE
State: relaxed

Cell: 3.2539 4.7390 5.4390 Å, 90.00 99.44 90.00°
With the nearest neighbours (Å) after each atom.
Element x y z (fractional)
1 Zr 0.0000 0.0000 0.0000  4 Re 2.90-2.96, 3 Tl 2.97, 2 Zr 3.21
2 Zr 0.1849 0.5000 0.6340  1 Re 2.66
3 Tl 0.6280 0.0000 0.4631  7 Zr 2.97-3.03, 2 Re 3.04, 2 Tl 3.25
4 Re 0.5471 0.5000 0.1084  5 Zr 2.66-2.96

Values from the calculation:
Formation energy ... 0.0561 eV per atom
DFT total energy ... -31.69 eV per cell
ρ ... 11501 kg/m3
Total moment ... 0.00 Bohr magnetons per cell

---

14.
Material: ZrTl2Re
Method: DFT, PBE
State: relaxed

Cell: 3.3613 3.3613 8.2572 Å, 90.00 90.00 90.00°
With the nearest neighbours (Å) after each atom.
Element x y z (fractional)
1 Zr 0.0000 0.0000 0.0000  4 Re 2.75
2 Tl 0.0000 0.0000 0.3987  4 Re 3.05, 1 Zr 3.29, 4 Tl 3.36
3 Tl 0.5000 0.5000 0.7093  8 Tl 3.36-3.50, 4 Zr 3.38
4 Re 0.5000 0.5000 0.1680  4 Zr 2.75, 4 Tl 3.05

Values from the calculation:
Formation energy ... 0.3304 eV per atom
DFT total energy ... -24.41 eV per cell
ρ ... 12214 kg/m3
Total moment ... 0.00 Bohr magnetons per cell